(1)
{
  "formula": "AcLa2TaN4",
  "functional": "GGA-PBE",
  "state": "optimized geometry",
  "spacegroup": "Cmcm (63)",
  "formation_energy_uncorrected_mev_per_atom": -1141,
  "n_ef_per_ev_atom": 0.3624,
  "cell": [[-1.750, -2.426, 1.956], [6.421, -1.089, 1.130], [-0.345, 8.202, 9.863]],
  "species": ["La", "N", "La", "N", "N", "Ta", "La", "N", "N", "N", "La", "Ac", "Ac", "Ta", "N", "N"],
  "fractional_positions": [[0.370, 0.739, 0.535], [0.000, 0.000, 0.500], [0.630, 0.261, 0.035], [0.267, 0.535, 0.366], [0.733, 0.465, 0.866], [0.829, 0.658, 0.750], [0.370, 0.739, 0.965], [0.584, 0.167, 0.250], [0.267, 0.535, 0.134], [0.733, 0.465, 0.634], [0.630, 0.261, 0.465], [0.092, 0.185, 0.750], [0.908, 0.815, 0.250], [0.171, 0.342, 0.250], [0.000, 0.000, 0.000], [0.416, 0.833, 0.750]]
}

=====

(2)
{
  "formula": "ErThBi",
  "functional": "GGA-PBE",
  "state": "optimized geometry",
  "spacegroup": "I4mm (107)",
  "n_ef_per_ev_atom": 0.9132,
  "ef_ev_per_atom": -0.34,
  "cell": [[4.039, 0.000, 0.000], [0.000, 4.039, 0.000], [-2.020, -2.020, 5.694]],
  "species": ["Th", "Bi", "Er"],
  "fractional_positions": [[0.624, 0.624, 0.247], [0.292, 0.292, 0.583], [0.935, 0.935, 0.870]]
}

=====

(3)
{
  "formula": "NiSb2Pt",
  "functional": "GGA-PBE",
  "state": "optimized geometry",
  "spacegroup": "Pm (6)",
  "formation_energy_uncorrected_mev_per_atom": -228,
  "de_polymorph_ev_per_atom": 0.000,
  "n_ef_per_ev_atom": 0.5100,
  "cell": [[-2.464, -0.060, -2.800], [0.693, -3.897, -0.526], [-3.276, -3.635, 2.960]],
  "species": ["Sb", "Ni", "Sb", "Pt"],
  "fractional_positions": [[0.500, 0.256, 0.342], [0.000, 0.639, 0.439], [0.000, 0.008, 0.923], [0.500, 0.597, 0.796]]
}

=====

| no. | final energy (eV per cell) | total moment (Bohr magnetons per cell) | calculated density (g/cm³) |
| --- | --- | --- | --- |
| 1 | -136.49 | 0.00 | 8.4 |
| 2 | -16.88 | 0.00 | 10.9 |
| 3 | -20.98 | 0.00 | 10.9 |